# 1
A plane-wave DFT calculation with PBE-GGA was carried out for a relaxed LaTaSeBr2 crystal.

a = 5.121 Å, b = 5.121 Å, c = 5.033 Å
α = 90.00°, β = 90.00°, γ = 90.00°
Space group P4/mmm (No. 123)
Symmetry-distinct sites (fractional):
La 0.000 0.000 0.000 x1
Ta 0.500 0.500 0.500 x1
Se 0.500 0.500 0.000 x1
Br 0.000 0.500 0.500 x2

formation energy (no corrections): -0.40 eV/atom
E above lowest polymorph: 0.000 eV/atom
DOS at the Fermi energy: 1.014 states/eV/atom



# 2
A plane-wave DFT calculation with PBE-GGA was carried out for a relaxed Cs3Th3CuTe8 crystal.

a = 15.138 Å, b = 9.653 Å, c = 10.040 Å
α = 90.00°, β = 116.73°, γ = 90.00°
Space group C2/m (No. 12)
Symmetry-distinct sites (fractional):
Cs 0.000 0.000 0.000 x2
Cs 0.250 0.250 0.000 x4
Th 0.000 0.500 0.500 x2
Th 0.250 0.250 0.500 x4
Cu 0.000 0.000 0.500 x2
Te 0.028 0.280 0.295 x8
Te 0.189 0.000 0.655 x4
Te 0.233 0.500 0.699 x4

formation energy (no corrections): -1.03 eV/atom



# 3
A plane-wave DFT calculation with PBE-GGA was carried out for a relaxed NaSm2Pu3S6 crystal.

a = 17.395 Å, b = 3.989 Å, c = 7.996 Å
α = 90.00°, β = 102.99°, γ = 90.00°
Space group C2/m (No. 12)
Symmetry-distinct sites (fractional):
Na 0.000 0.000 0.000 x2
Sm 0.167 0.500 0.334 x4
Pu 0.000 0.000 0.500 x2
Pu 0.165 0.500 0.834 x4
S 0.000 0.500 0.257 x4
S 0.165 0.000 0.587 x4
S 0.169 0.000 0.082 x4

formation energy (no corrections): -1.80 eV/atom
DOS at the Fermi energy: 1.950 states/eV/atom



# 4
A plane-wave DFT calculation with PBE-GGA was carried out for a relaxed RbBaZr2O crystal.

a = 5.344 Å, b = 5.344 Å, c = 6.835 Å
α = 90.00°, β = 90.00°, γ = 90.00°
Space group P4/mmm (No. 123)
Symmetry-distinct sites (fractional):
Rb 0.000 0.000 0.000 x1
Ba 0.000 0.000 0.500 x1
Zr 0.000 0.500 0.500 x2
O 0.500 0.500 0.000 x1

formation energy (no corrections): 1.92 eV/atom
E above lowest polymorph: 0.000 eV/atom
DOS at the Fermi energy: 1.508 states/eV/atom



# 5
A plane-wave DFT calculation with PBE-GGA was carried out for a relaxed SrPr3Fe crystal.

a = 5.578 Å, b = 5.578 Å, c = 5.578 Å
α = 90.00°, β = 90.00°, γ = 90.00°
Space group Pm-3m (No. 221)
Symmetry-distinct sites (fractional):
Sr 0.000 0.000 0.000 x1
Pr 0.000 0.500 0.500 x3
Fe 0.500 0.500 0.500 x1

formation enthalpy at 0 K: 15.1 kJ/mol of atoms
DOS at the Fermi energy: 1.016 states/eV/atom



# 6
A plane-wave DFT calculation with PBE-GGA was carried out for a relaxed V2GaSb2 crystal.

a = 7.064 Å, b = 7.064 Å, c = 3.683 Å
α = 90.00°, β = 90.00°, γ = 90.00°
Space group P4/mbm (No. 127)
Symmetry-distinct sites (fractional):
V 0.140 0.360 0.000 x4
Ga 0.000 0.000 0.000 x2
Sb 0.157 0.657 0.500 x4

formation energy (no corrections): 0.03 eV/atom
DOS at the Fermi energy: 0.640 states/eV/atom



# 7
A plane-wave DFT calculation with PBE-GGA was carried out for a relaxed CdPBr2 crystal.

a = 6.600 Å, b = 7.843 Å, c = 7.954 Å
α = 90.00°, β = 90.00°, γ = 90.00°
Space group Fmmm (No. 69)
Symmetry-distinct sites (fractional):
Cd 0.000 0.000 0.000 x4
P 0.000 0.000 0.500 x4
Br 0.000 0.250 0.250 x8

formation energy (no corrections): 0.16 eV/atom
E above lowest polymorph: 0.383 eV/atom
DOS at the Fermi energy: 0.310 states/eV/atom



# 8
A plane-wave DFT calculation with PBE-GGA was carried out for a relaxed PmPr4Ho7 crystal.

a = 12.169 Å, b = 5.934 Å, c = 12.869 Å
α = 90.00°, β = 117.87°, γ = 90.00°
Space group C2/m (No. 12)
Symmetry-distinct sites (fractional):
Pm 0.000 0.000 0.000 x2
Pr 0.136 0.500 0.777 x4
Pr 0.224 0.000 0.667 x4
Ho 0.000 0.500 0.000 x2
Ho 0.069 0.000 0.314 x4
Ho 0.132 0.500 0.495 x4
Ho 0.211 0.000 0.923 x4

formation enthalpy at 0 K: 24.4 kJ/mol of atoms
E above lowest polymorph: 0.167 eV/atom
DOS at the Fermi energy: 1.636 states/eV/atom



# 9
A plane-wave DFT calculation with PBE-GGA was carried out for a relaxed Er7TlAg4 crystal.

a = 14.443 Å, b = 5.656 Å, c = 8.878 Å
α = 90.00°, β = 118.49°, γ = 90.00°
Space group C2/m (No. 12)
Symmetry-distinct sites (fractional):
Er 0.000 0.000 0.000 x2
Er 0.078 0.500 0.401 x4
Er 0.176 0.500 0.880 x4
Er 0.210 0.000 0.665 x4
Tl 0.000 0.500 0.000 x2
Ag 0.017 0.000 0.679 x4
Ag 0.195 0.000 0.324 x4

formation enthalpy at 0 K: -6.5 kJ/mol of atoms
DOS at the Fermi energy: 1.037 states/eV/atom



# 10
A plane-wave DFT calculation with PBE-GGA was carried out for a relaxed SrBe3Au6 crystal.

a = 5.8140 Å, b = 5.8140 Å, c = 18.1698 Å
α = 90.00°, β = 90.00°, γ = 120.00°
Space group R3 (No. 146, hexagonal axes)
Symmetry-distinct sites (fractional):
Sr 0.0000 0.0000 0.0000 x3
Be 0.0000 0.0000 0.3039 x3
Be 0.0000 0.0000 0.6399 x3
Be 0.0000 0.0000 0.8348 x3
Au 0.0003 0.4119 0.8806 x9
Au 0.0026 0.4989 0.0707 x9

formation enthalpy at 0 K: -24.8 kJ/mol of atoms
DOS at the Fermi energy: 0.215 states/eV/atom



# 11
A plane-wave DFT calculation with PBE-GGA was carried out for a relaxed Pr4NdSm2Sc crystal.

a = 5.980 Å, b = 5.978 Å, c = 7.588 Å
α = 90.00°, β = 90.01°, γ = 90.00°
Space group P2/m (No. 10)
Symmetry-distinct sites (fractional):
Pr 0.001 0.000 0.265 x2
Pr 0.498 0.500 0.264 x2
Nd 0.500 0.000 0.000 x1
Sm 0.000 0.500 0.000 x1
Sm 0.500 0.000 0.500 x1
Sc 0.000 0.500 0.500 x1

formation enthalpy at 0 K: 7.1 kJ/mol of atoms
DOS at the Fermi energy: 1.917 states/eV/atom



# 12
A plane-wave DFT calculation with PBE-GGA was carried out for a relaxed VNCl3 crystal.

a = 4.779 Å, b = 4.779 Å, c = 4.779 Å
α = 90.00°, β = 90.00°, γ = 90.00°
Space group Pm-3m (No. 221)
Symmetry-distinct sites (fractional):
V 0.000 0.000 0.000 x1
N 0.500 0.500 0.500 x1
Cl 0.000 0.000 0.500 x3

formation energy (no corrections): 0.24 eV/atom
E above lowest polymorph: 0.204 eV/atom
DOS at the Fermi energy: 1.004 states/eV/atom



# 13
A plane-wave DFT calculation with PBE-GGA was carried out for a relaxed VIr3Ru4 crystal.

a = 11.765 Å, b = 2.716 Å, c = 8.992 Å
α = 90.00°, β = 128.39°, γ = 90.00°
Space group C2/m (No. 12)
Symmetry-distinct sites (fractional):
V 0.000 0.000 0.000 x2
Ir 0.000 0.500 0.500 x2
Ir 0.246 0.500 0.246 x4
Ru 0.123 0.000 0.370 x4
Ru 0.123 0.500 0.879 x4

formation enthalpy at 0 K: -9.2 kJ/mol of atoms
DOS at the Fermi energy: 0.993 states/eV/atom



# 14
A plane-wave DFT calculation with PBE-GGA was carried out for a relaxed NdSm4Ho2 crystal.

a = 6.170 Å, b = 6.637 Å, c = 11.696 Å
α = 90.00°, β = 104.41°, γ = 90.00°
Space group P2_1/m (No. 11)
Symmetry-distinct sites (fractional):
Nd 0.017 0.250 0.350 x2
Sm 0.154 0.250 0.652 x2
Sm 0.292 0.750 0.937 x2
Sm 0.358 0.503 0.212 x4
Ho 0.147 0.250 0.940 x2
Ho 0.401 0.750 0.501 x2

formation enthalpy at 0 K: 11.9 kJ/mol of atoms
E above lowest polymorph: 0.089 eV/atom
DOS at the Fermi energy: 1.552 states/eV/atom



# 15
A plane-wave DFT calculation with PBE-GGA was carried out for a relaxed Sr2LiTe crystal.

a = 4.5389 Å, b = 4.5389 Å, c = 27.6471 Å
α = 90.00°, β = 90.00°, γ = 120.00°
Space group R-3m (No. 166, hexagonal axes)
Symmetry-distinct sites (fractional):
Sr 0.0000 0.0000 0.2399 x6
Li 0.0000 0.0000 0.0000 x3
Te 0.0000 0.0000 0.5000 x3

formation energy (no corrections): -0.69 eV/atom
DOS at the Fermi energy: 0.705 states/eV/atom



# 16
A plane-wave DFT calculation with PBE-GGA was carried out for a relaxed CaTm5Zn6 crystal.

a = 5.017 Å, b = 15.072 Å, c = 7.044 Å
α = 90.00°, β = 90.00°, γ = 90.00°
Space group Cmmm (No. 65)
Symmetry-distinct sites (fractional):
Ca 0.000 0.000 0.000 x2
Tm 0.000 0.000 0.500 x2
Tm 0.000 0.333 0.000 x4
Tm 0.000 0.335 0.500 x4
Zn 0.000 0.170 0.256 x8
Zn 0.000 0.500 0.261 x4

formation enthalpy at 0 K: -31.9 kJ/mol of atoms
DOS at the Fermi energy: 0.747 states/eV/atom



# 17
A plane-wave DFT calculation with PBE-GGA was carried out for a relaxed Sr2OsPt2 crystal.

a = 3.676 Å, b = 3.676 Å, c = 18.233 Å
α = 90.00°, β = 90.00°, γ = 90.00°
Space group I4/mmm (No. 139)
Symmetry-distinct sites (fractional):
Sr 0.000 0.000 0.105 x4
Os 0.000 0.000 0.500 x2
Pt 0.000 0.500 0.250 x4

formation enthalpy at 0 K: 25.8 kJ/mol of atoms
E above lowest polymorph: 0.454 eV/atom
DOS at the Fermi energy: 1.095 states/eV/atom



# 18
A plane-wave DFT calculation with PBE-GGA was carried out for a relaxed BeZnCSO crystal.

a = 3.981 Å, b = 3.312 Å, c = 5.267 Å
α = 90.00°, β = 100.93°, γ = 90.00°
Space group Pm (No. 6)
Symmetry-distinct sites (fractional):
Be 0.000 0.000 0.000 x1
Zn 0.408 0.500 0.501 x1
C 0.420 0.000 0.233 x1
S 0.984 0.500 0.757 x1
O 0.695 0.000 0.145 x1

formation energy (no corrections): -0.44 eV/atom
E above lowest polymorph: 0.082 eV/atom
DOS at the Fermi energy: 0.303 states/eV/atom



# 19
A plane-wave DFT calculation with PBE-GGA was carried out for a relaxed TbCe2Br6 crystal.

a = 7.2100 Å, b = 7.2100 Å, c = 21.3458 Å
α = 90.00°, β = 90.00°, γ = 120.00°
Space group R3 (No. 146, hexagonal axes)
Symmetry-distinct sites (fractional):
Tb 0.0000 0.0000 0.0000 x3
Ce 0.0000 0.0000 0.1658 x3
Ce 0.0000 0.0000 0.3345 x3
Br 0.0027 0.3516 0.4117 x9
Br 0.0037 0.6810 0.9174 x9

formation energy (no corrections): -1.54 eV/atom
DOS at the Fermi energy: 1.774 states/eV/atom



# 20
A plane-wave DFT calculation with PBE-GGA was carried out for a relaxed VMo3P2 crystal.

a = 3.152 Å, b = 4.054 Å, c = 13.069 Å
α = 90.00°, β = 90.00°, γ = 90.00°
Space group Immm (No. 71)
Symmetry-distinct sites (fractional):
V 0.000 0.000 0.000 x2
Mo 0.000 0.000 0.500 x2
Mo 0.000 0.500 0.180 x4
P 0.000 0.500 0.360 x4

formation enthalpy at 0 K: -44.7 kJ/mol of atoms
DOS at the Fermi energy: 0.607 states/eV/atom



# 21
A plane-wave DFT calculation with PBE-GGA was carried out for a relaxed AcTb6Dy8 crystal.

a = 9.0606 Å, b = 9.0606 Å, c = 20.8046 Å
α = 90.00°, β = 90.00°, γ = 120.00°
Space group R-3 (No. 148, hexagonal axes)
Symmetry-distinct sites (fractional):
Ac 0.0000 0.0000 0.0000 x3
Tb 0.0531 0.8117 0.7085 x18
Dy 0.0000 0.0000 0.4232 x6
Dy 0.0795 0.5276 0.8087 x18

formation enthalpy at 0 K: 14.2 kJ/mol of atoms
E above lowest polymorph: 0.000 eV/atom
DOS at the Fermi energy: 1.542 states/eV/atom



# 22
A plane-wave DFT calculation with PBE-GGA was carried out for a relaxed PmScGaNi crystal.

a = 6.881 Å, b = 6.881 Å, c = 6.881 Å
α = 90.00°, β = 90.00°, γ = 90.00°
Space group F-43m (No. 216)
Symmetry-distinct sites (fractional):
Pm 0.000 0.000 0.000 x4
Sc 0.000 0.000 0.500 x4
Ga 0.250 0.250 0.750 x4
Ni 0.250 0.250 0.250 x4

formation enthalpy at 0 K: -38.9 kJ/mol of atoms
DOS at the Fermi energy: 0.781 states/eV/atom



# 23
A plane-wave DFT calculation with PBE-GGA was carried out for a relaxed Sr2InAg10 crystal.

a = 9.810 Å, b = 11.703 Å, c = 5.873 Å
α = 90.00°, β = 90.00°, γ = 90.00°
Space group Pbam (No. 55)
Symmetry-distinct sites (fractional):
Sr 0.226 0.074 0.000 x4
In 0.000 0.000 0.500 x2
Ag 0.042 0.617 0.500 x4
Ag 0.087 0.810 0.232 x8
Ag 0.179 0.204 0.500 x4
Ag 0.227 0.444 0.500 x4

formation enthalpy at 0 K: -2.5 kJ/mol of atoms
DOS at the Fermi energy: 0.392 states/eV/atom